(1)
# K2CaTa (GGA-PBE, relaxed)
# **SG**: No. 99
# **Energy of formation from the pure elements**: 0.87 eV/atom
# **V**: 148.5 Å³ per cell
data_K2CaTa
_symmetry_space_group_name_H-M 'P 1'
_symmetry_Int_Tables_number 1
_cell_length_a 3.378
_cell_length_b 3.378
_cell_length_c 13.012
_cell_angle_alpha 90.00
_cell_angle_beta 90.00
_cell_angle_gamma 90.00
loop_
_symmetry_equiv_pos_as_xyz
'x,y,z'
loop_
_atom_site_label
_atom_site_type_symbol
_atom_site_fract_x
_atom_site_fract_y
_atom_site_fract_z
K1 K 0.000 0.000 0.000
K2 K 0.500 0.500 0.326
Ca1 Ca 0.500 0.500 0.714
Ta1 Ta 0.000 0.000 0.548

---

(2)
# Er6Ga2Ru (GGA-PBE, relaxed)
# **SG**: No. 71
# **Energy of formation from the pure elements**: -0.29 eV/atom
# **V**: 244.3 Å³ per cell
data_Er6Ga2Ru
_symmetry_space_group_name_H-M 'P 1'
_symmetry_Int_Tables_number 1
_cell_length_a 8.355
_cell_length_b 8.355
_cell_length_c 8.355
_cell_angle_alpha 145.90
_cell_angle_beta 131.02
_cell_angle_gamma 61.03
loop_
_symmetry_equiv_pos_as_xyz
'x,y,z'
loop_
_atom_site_label
_atom_site_type_symbol
_atom_site_fract_x
_atom_site_fract_y
_atom_site_fract_z
Er1 Er 0.086 0.341 0.745
Er2 Er 0.237 0.000 0.237
Er3 Er 0.404 0.659 0.745
Er4 Er 0.596 0.341 0.255
Er5 Er 0.763 0.000 0.763
Er6 Er 0.914 0.659 0.255
Ga1 Ga 0.332 0.832 0.500
Ga2 Ga 0.668 0.168 0.500
Ru1 Ru 0.000 0.500 0.500

---

(3)
# Tb2TcH8 (GGA-PBE, relaxed)
# **Calculated total energy**: -4.623 eV/atom
# **SG**: No. 12
# **V**: 96.7 Å³ per cell
data_Tb2TcH8
_symmetry_space_group_name_H-M 'P 1'
_symmetry_Int_Tables_number 1
_cell_length_a 7.059
_cell_length_b 7.059
_cell_length_c 4.302
_cell_angle_alpha 107.74
_cell_angle_beta 107.74
_cell_angle_gamma 28.39
loop_
_symmetry_equiv_pos_as_xyz
'x,y,z'
loop_
_atom_site_label
_atom_site_type_symbol
_atom_site_fract_x
_atom_site_fract_y
_atom_site_fract_z
Tb1 Tb 0.145 0.145 0.145
Tb2 Tb 0.855 0.855 0.855
Tc1 Tc 0.500 0.500 0.500
H1 H 0.000 0.000 0.288
H2 H 0.000 0.000 0.712
H3 H 0.240 0.240 0.739
H4 H 0.387 0.387 0.166
H5 H 0.388 0.388 0.612
H6 H 0.612 0.612 0.388
H7 H 0.613 0.613 0.834
H8 H 0.760 0.760 0.261

---

(4)
# SrHgC2 (GGA-PBE, relaxed)
# **SG**: No. 122
# **Energy of formation from the pure elements**: 1.66 eV/atom
# **V**: 153.8 Å³ per cell
data_SrHgC2
_symmetry_space_group_name_H-M 'P 1'
_symmetry_Int_Tables_number 1
_cell_length_a 7.912
_cell_length_b 7.912
_cell_length_c 7.912
_cell_angle_alpha 146.05
_cell_angle_beta 146.05
_cell_angle_gamma 48.78
loop_
_symmetry_equiv_pos_as_xyz
'x,y,z'
loop_
_atom_site_label
_atom_site_type_symbol
_atom_site_fract_x
_atom_site_fract_y
_atom_site_fract_z
Sr1 Sr 0.000 0.000 0.000
Sr2 Sr 0.750 0.250 0.500
Hg1 Hg 0.250 0.750 0.500
Hg2 Hg 0.500 0.500 0.000
C1 C 0.246 0.625 0.121
C2 C 0.375 0.496 0.621
C3 C 0.504 0.125 0.879
C4 C 0.875 0.754 0.379

---

(5)
# NpCd2Sn (GGA-PBE, relaxed)
# **SG**: No. 225
# **Energy of formation from the pure elements**: 0.24 eV/atom
# **V**: 99.9 Å³ per cell
data_NpCd2Sn
_symmetry_space_group_name_H-M 'P 1'
_symmetry_Int_Tables_number 1
_cell_length_a 5.208
_cell_length_b 5.208
_cell_length_c 5.208
_cell_angle_alpha 60.00
_cell_angle_beta 60.00
_cell_angle_gamma 60.00
loop_
_symmetry_equiv_pos_as_xyz
'x,y,z'
loop_
_atom_site_label
_atom_site_type_symbol
_atom_site_fract_x
_atom_site_fract_y
_atom_site_fract_z
Np1 Np 0.000 0.000 0.000
Cd1 Cd 0.250 0.250 0.250
Cd2 Cd 0.750 0.750 0.750
Sn1 Sn 0.500 0.500 0.500

---

(6)
# Ba3Nd4S8 (GGA-PBE, relaxed)
# **Formation energy from raw total energies**: -1.97 eV per atom
# **SG**: No. 12
# **V**: 444.0 Å³ per cell
data_Ba3Nd4S8
_symmetry_space_group_name_H-M 'P 1'
_symmetry_Int_Tables_number 1
_cell_length_a 8.551
_cell_length_b 8.551
_cell_length_c 8.432
_cell_angle_alpha 119.35
_cell_angle_beta 119.35
_cell_angle_gamma 90.11
loop_
_symmetry_equiv_pos_as_xyz
'x,y,z'
loop_
_atom_site_label
_atom_site_type_symbol
_atom_site_fract_x
_atom_site_fract_y
_atom_site_fract_z
Ba1 Ba 0.000 0.000 0.000
Ba2 Ba 0.000 0.500 0.000
Ba3 Ba 0.500 0.000 0.000
Nd1 Nd 0.000 0.500 0.500
Nd2 Nd 0.500 0.000 0.500
Nd3 Nd 0.500 0.500 0.000
Nd4 Nd 0.500 0.500 0.500
S1 S 0.260 0.740 0.000
S2 S 0.263 0.737 0.500
S3 S 0.269 0.269 0.519
S4 S 0.281 0.281 0.035
S5 S 0.719 0.719 0.965
S6 S 0.731 0.731 0.481
S7 S 0.737 0.263 0.500
S8 S 0.740 0.260 0.000

---

(7)
# EuAlSi (GGA-PBE, relaxed)
# **Formation energy from raw total energies**: -0.49 eV per atom
# **SG**: No. 187
# **V**: 68.4 Å³ per cell
data_EuAlSi
_symmetry_space_group_name_H-M 'P 1'
_symmetry_Int_Tables_number 1
_cell_length_a 4.231
_cell_length_b 4.231
_cell_length_c 4.415
_cell_angle_alpha 90.00
_cell_angle_beta 90.00
_cell_angle_gamma 120.00
loop_
_symmetry_equiv_pos_as_xyz
'x,y,z'
loop_
_atom_site_label
_atom_site_type_symbol
_atom_site_fract_x
_atom_site_fract_y
_atom_site_fract_z
Eu1 Eu 0.000 0.000 0.000
Al1 Al 0.333 0.667 0.500
Si1 Si 0.667 0.333 0.500

---

(8)
# Ca2CdAgHg6 (GGA-PBE, relaxed)
# **SG**: No. 2
# **Energy of formation from the pure elements**: -0.20 eV/atom
# **V**: 265.3 Å³ per cell
data_Ca2CdAgHg6
_symmetry_space_group_name_H-M 'P 1'
_symmetry_Int_Tables_number 1
_cell_length_a 5.895
_cell_length_b 6.903
_cell_length_c 7.156
_cell_angle_alpha 92.53
_cell_angle_beta 107.41
_cell_angle_gamma 105.49
loop_
_symmetry_equiv_pos_as_xyz
'x,y,z'
loop_
_atom_site_label
_atom_site_type_symbol
_atom_site_fract_x
_atom_site_fract_y
_atom_site_fract_z
Ca1 Ca 0.231 0.236 0.267
Ca2 Ca 0.769 0.764 0.733
Cd1 Cd 0.500 0.000 0.000
Ag1 Ag 0.000 0.500 0.500
Hg1 Hg 0.127 0.707 0.145
Hg2 Hg 0.255 0.923 0.574
Hg3 Hg 0.374 0.379 0.788
Hg4 Hg 0.626 0.621 0.212
Hg5 Hg 0.745 0.077 0.426
Hg6 Hg 0.873 0.293 0.855

---

(9)
# Rb12Na3Au5 (GGA-PBE, relaxed)
# **SG**: No. 230
# **Energy of formation from the pure elements**: -0.05 eV/atom
# **V**: 5281.5 Å³ per cell
data_Rb12Na3Au5
_symmetry_space_group_name_H-M 'P 1'
_symmetry_Int_Tables_number 1
_cell_length_a 19.002
_cell_length_b 19.002
_cell_length_c 19.002
_cell_angle_alpha 109.47
_cell_angle_beta 109.47
_cell_angle_gamma 109.47
loop_
_symmetry_equiv_pos_as_xyz
'x,y,z'
loop_
_atom_site_label
_atom_site_type_symbol
_atom_site_fract_x
_atom_site_fract_y
_atom_site_fract_z
Rb1 Rb 0.028 0.205 0.115
Rb2 Rb 0.028 0.323 0.913
Rb3 Rb 0.087 0.615 0.410
Rb4 Rb 0.087 0.972 0.677
Rb5 Rb 0.090 0.705 0.677
Rb6 Rb 0.090 0.885 0.413
Rb7 Rb 0.115 0.028 0.205
Rb8 Rb 0.115 0.587 0.910
Rb9 Rb 0.177 0.205 0.590
Rb10 Rb 0.177 0.472 0.587
Rb11 Rb 0.205 0.115 0.028
Rb12 Rb 0.205 0.590 0.177
Rb13 Rb 0.295 0.323 0.910
Rb14 Rb 0.295 0.472 0.385
Rb15 Rb 0.323 0.910 0.295
Rb16 Rb 0.323 0.913 0.028
Rb17 Rb 0.385 0.295 0.472
Rb18 Rb 0.385 0.590 0.913
Rb19 Rb 0.410 0.087 0.615
Rb20 Rb 0.410 0.823 0.795
Rb21 Rb 0.413 0.090 0.885
Rb22 Rb 0.413 0.823 0.528
Rb23 Rb 0.472 0.385 0.295
Rb24 Rb 0.472 0.587 0.177
Rb25 Rb 0.528 0.413 0.823
Rb26 Rb 0.528 0.615 0.705
Rb27 Rb 0.587 0.177 0.472
Rb28 Rb 0.587 0.910 0.115
Rb29 Rb 0.590 0.177 0.205
Rb30 Rb 0.590 0.913 0.385
Rb31 Rb 0.615 0.410 0.087
Rb32 Rb 0.615 0.705 0.528
Rb33 Rb 0.677 0.087 0.972
Rb34 Rb 0.677 0.090 0.705
Rb35 Rb 0.705 0.528 0.615
Rb36 Rb 0.705 0.677 0.090
Rb37 Rb 0.795 0.410 0.823
Rb38 Rb 0.795 0.885 0.972
Rb39 Rb 0.823 0.528 0.413
Rb40 Rb 0.823 0.795 0.410
Rb41 Rb 0.885 0.413 0.090
Rb42 Rb 0.885 0.972 0.795
Rb43 Rb 0.910 0.115 0.587
Rb44 Rb 0.910 0.295 0.323
Rb45 Rb 0.913 0.028 0.323
Rb46 Rb 0.913 0.385 0.590
Rb47 Rb 0.972 0.677 0.087
Rb48 Rb 0.972 0.795 0.885
Na1 Na 0.125 0.250 0.375
Na2 Na 0.125 0.375 0.750
Na3 Na 0.250 0.375 0.125
Na4 Na 0.250 0.875 0.625
Na5 Na 0.375 0.125 0.250
Na6 Na 0.375 0.750 0.125
Na7 Na 0.625 0.250 0.875
Na8 Na 0.625 0.875 0.750
Na9 Na 0.750 0.125 0.375
Na10 Na 0.750 0.625 0.875
Na11 Na 0.875 0.625 0.250
Na12 Na 0.875 0.750 0.625
Au1 Au 0.000 0.000 0.000
Au2 Au 0.000 0.000 0.500
Au3 Au 0.000 0.500 0.000
Au4 Au 0.000 0.500 0.500
Au5 Au 0.125 0.750 0.875
Au6 Au 0.125 0.875 0.250
Au7 Au 0.250 0.125 0.875
Au8 Au 0.250 0.625 0.375
Au9 Au 0.375 0.250 0.625
Au10 Au 0.375 0.625 0.750
Au11 Au 0.500 0.000 0.000
Au12 Au 0.500 0.000 0.500
Au13 Au 0.500 0.500 0.000
Au14 Au 0.500 0.500 0.500
Au15 Au 0.625 0.375 0.250
Au16 Au 0.625 0.750 0.375
Au17 Au 0.750 0.375 0.625
Au18 Au 0.750 0.875 0.125
Au19 Au 0.875 0.125 0.750
Au20 Au 0.875 0.250 0.125

---

(10)
# Li2AlIn (GGA-PBE, relaxed)
# **SG**: No. 65
# **Energy of formation from the pure elements**: -0.16 eV/atom
# **V**: 72.8 Å³ per cell
data_Li2AlIn
_symmetry_space_group_name_H-M 'P 1'
_symmetry_Int_Tables_number 1
_cell_length_a 5.092
_cell_length_b 5.092
_cell_length_c 2.975
_cell_angle_alpha 90.00
_cell_angle_beta 90.00
_cell_angle_gamma 109.45
loop_
_symmetry_equiv_pos_as_xyz
'x,y,z'
loop_
_atom_site_label
_atom_site_type_symbol
_atom_site_fract_x
_atom_site_fract_y
_atom_site_fract_z
Li1 Li 0.000 0.500 0.000
Li2 Li 0.500 0.000 0.000
Al1 Al 0.000 0.000 0.500
In1 In 0.500 0.500 0.500

---

(11)
# AcTmSe (GGA-PBE, relaxed)
# **Formation energy from raw total energies**: -1.02 eV per atom
# **SG**: No. 156
# **V**: 97.7 Å³ per cell
data_AcTmSe
_symmetry_space_group_name_H-M 'P 1'
_symmetry_Int_Tables_number 1
_cell_length_a 4.006
_cell_length_b 4.006
_cell_length_c 7.026
_cell_angle_alpha 90.00
_cell_angle_beta 90.00
_cell_angle_gamma 120.00
loop_
_symmetry_equiv_pos_as_xyz
'x,y,z'
loop_
_atom_site_label
_atom_site_type_symbol
_atom_site_fract_x
_atom_site_fract_y
_atom_site_fract_z
Ac1 Ac 0.000 0.000 0.000
Tm1 Tm 0.667 0.333 0.452
Se1 Se 0.333 0.667 0.691

---

(12)
# BaNbPb (GGA-PBE, relaxed)
# **SG**: No. 8
# **Energy of formation from the pure elements**: 0.27 eV/atom
# **V**: 184.3 Å³ per cell
data_BaNbPb
_symmetry_space_group_name_H-M 'P 1'
_symmetry_Int_Tables_number 1
_cell_length_a 6.545
_cell_length_b 6.545
_cell_length_c 8.498
_cell_angle_alpha 109.05
_cell_angle_beta 109.05
_cell_angle_gamma 32.56
loop_
_symmetry_equiv_pos_as_xyz
'x,y,z'
loop_
_atom_site_label
_atom_site_type_symbol
_atom_site_fract_x
_atom_site_fract_y
_atom_site_fract_z
Ba1 Ba 0.000 0.000 0.000
Ba2 Ba 0.698 0.698 0.787
Nb1 Nb 0.324 0.324 0.217
Nb2 Nb 0.719 0.719 0.339
Pb1 Pb 0.029 0.029 0.418
Pb2 Pb 0.381 0.381 0.598